P) TmGaPd5: relaxed, GGA-PBE.

Unit cell a=4.1122 b=4.1122 c=7.0525 alpha=90.00 beta=90.00 gamma=90.00
Element x y z (fractional)
1 Tm 0.0000 0.0000 0.0000
2 Ga 0.5000 0.5000 0.5000
3 Pd 0.0000 0.5000 0.2888
4 Pd 0.0000 0.5000 0.7112
5 Pd 0.5000 0.0000 0.2888
6 Pd 0.5000 0.0000 0.7112
7 Pd 0.5000 0.5000 0.0000

Properties
Fermi-level density of states: 1.64 states/eV/f.u.


Q) TmGaPd5: relaxed, GGA-PBE.

Unit cell a=6.5155 b=6.5155 c=7.1668 alpha=111.37 beta=111.37 gamma=69.95
Element x y z (fractional)
1 Tm 0.0235 0.9765 0.7500
2 Tm 0.9765 0.0235 0.2500
3 Ga 0.0000 0.5000 0.5000
4 Ga 0.5000 0.0000 0.0000
5 Pd 0.2030 0.3844 0.9318
6 Pd 0.2065 0.6295 0.3517
7 Pd 0.3705 0.7935 0.1483
8 Pd 0.3844 0.2030 0.4318
9 Pd 0.3878 0.6122 0.7500
10 Pd 0.6122 0.3878 0.2500
11 Pd 0.6156 0.7970 0.5682
12 Pd 0.6295 0.2065 0.8517
13 Pd 0.7935 0.3705 0.6483
14 Pd 0.7970 0.6156 0.0682

Properties
Fermi-level density of states: 2.98 states/eV/f.u.


Tell me which of them is the least stable. Sure, it is Q).


P) UGa3Pd3: relaxed, GGA-PBE.

Unit cell a=6.7875 b=6.7875 c=6.7875 alpha=90.00 beta=90.00 gamma=90.00
Element x y z (fractional)
1 U 0.0000 0.0000 0.0000
2 U 0.5000 0.5000 0.5000
3 Ga 0.0000 0.2500 0.5000
4 Ga 0.0000 0.7500 0.5000
5 Ga 0.2500 0.5000 0.0000
6 Ga 0.5000 0.0000 0.2500
7 Ga 0.5000 0.0000 0.7500
8 Ga 0.7500 0.5000 0.0000
9 Pd 0.0000 0.5000 0.2500
10 Pd 0.0000 0.5000 0.7500
11 Pd 0.2500 0.0000 0.5000
12 Pd 0.5000 0.2500 0.0000
13 Pd 0.5000 0.7500 0.0000
14 Pd 0.7500 0.0000 0.5000

Properties
Fermi-level density of states: 5.64 states/eV/f.u.


Q) UGa3Pd3: relaxed, GGA-PBE.

Unit cell a=7.5509 b=7.5509 c=5.0265 alpha=90.00 beta=90.00 gamma=120.00
Element x y z (fractional)
1 U 0.3333 0.6667 0.2500
2 U 0.6667 0.3333 0.7500
3 Ga 0.0078 0.2258 0.2500
4 Ga 0.2179 0.9922 0.2500
5 Ga 0.2258 0.2179 0.7500
6 Ga 0.7742 0.7821 0.2500
7 Ga 0.7821 0.0078 0.7500
8 Ga 0.9922 0.7742 0.7500
9 Pd 0.0868 0.4639 0.7500
10 Pd 0.3772 0.9132 0.7500
11 Pd 0.4639 0.3772 0.2500
12 Pd 0.5361 0.6228 0.7500
13 Pd 0.6228 0.0868 0.2500
14 Pd 0.9132 0.5361 0.2500

Properties
Fermi-level density of states: 7.85 states/eV/f.u.


Tell me which of them is the least stable. Sure, it is P).


P) VGaPd5: relaxed, GGA-PBE.

Unit cell a=6.6758 b=6.6758 c=6.5237 alpha=112.44 beta=112.44 gamma=89.54
Element x y z (fractional)
1 V 0.0372 0.9628 0.7500
2 V 0.9628 0.0372 0.2500
3 Ga 0.5000 0.5000 0.0000
4 Ga 0.5000 0.5000 0.5000
5 Pd 0.0603 0.6970 0.9988
6 Pd 0.1070 0.3054 0.6745
7 Pd 0.3022 0.6978 0.7500
8 Pd 0.3030 0.9397 0.5012
9 Pd 0.3054 0.1070 0.1745
10 Pd 0.6946 0.8930 0.8255
11 Pd 0.6970 0.0603 0.4988
12 Pd 0.6978 0.3022 0.2500
13 Pd 0.8930 0.6946 0.3255
14 Pd 0.9397 0.3030 0.0012

Properties
Fermi-level density of states: 5.57 states/eV/f.u.


Q) VGaPd5: relaxed, GGA-PBE.

Unit cell a=4.4251 b=4.4251 c=5.7431 alpha=90.00 beta=90.00 gamma=90.00
Element x y z (fractional)
1 V 0.0000 0.0000 0.0000
2 Ga 0.5000 0.5000 0.5000
3 Pd 0.0000 0.0000 0.5000
4 Pd 0.0000 0.5000 0.2361
5 Pd 0.0000 0.5000 0.7639
6 Pd 0.5000 0.0000 0.2361
7 Pd 0.5000 0.0000 0.7639

Properties
Fermi-level density of states: 4.60 states/eV/f.u.


Tell me which of them is the least stable. Sure, it is P).


P) Ga2PdW: relaxed, GGA-PBE.

Unit cell a=4.4156 b=4.4156 c=4.4156 alpha=60.00 beta=60.00 gamma=60.00
Element x y z (fractional)
1 Ga 0.2500 0.2500 0.2500
2 Ga 0.7500 0.7500 0.7500
3 Pd 0.0000 0.0000 0.0000
4 W 0.5000 0.5000 0.5000

Properties
Fermi-level density of states: 3.71 states/eV/f.u.


Q) Ga2PdW: relaxed, GGA-PBE.

Unit cell a=5.6218 b=5.6218 c=5.6218 alpha=104.76 beta=104.76 gamma=119.36
Element x y z (fractional)
1 Ga 0.1101 0.6250 0.9851
2 Ga 0.3750 0.3601 0.4851
3 Ga 0.6399 0.1250 0.0149
4 Ga 0.8750 0.8899 0.5149
5 Pd 0.0000 0.0000 0.0000
6 Pd 0.7500 0.2500 0.5000
7 W 0.2500 0.7500 0.5000
8 W 0.5000 0.5000 0.0000

Properties
Fermi-level density of states: 3.15 states/eV/f.u.


Tell me which of them is the least stable. Sure, it is Q).


P) YGa4Pd2: relaxed, GGA-PBE.

Unit cell a=8.1548 b=8.1548 c=3.8730 alpha=90.00 beta=90.00 gamma=90.00
Element x y z (fractional)
1 Y 0.0000 0.0000 0.0000
2 Y 0.5000 0.5000 0.5000
3 Ga 0.0780 0.3237 0.5000
4 Ga 0.1763 0.5780 0.0000
5 Ga 0.3237 0.0780 0.5000
6 Ga 0.4220 0.8237 0.0000
7 Ga 0.5780 0.1763 0.0000
8 Ga 0.6763 0.9220 0.5000
9 Ga 0.8237 0.4220 0.0000
10 Ga 0.9220 0.6763 0.5000
11 Pd 0.2104 0.7896 0.5000
12 Pd 0.2896 0.2896 0.0000
13 Pd 0.7104 0.7104 0.0000
14 Pd 0.7896 0.2104 0.5000

Properties
Fermi-level density of states: 3.50 states/eV/f.u.


Q) YGa4Pd2: relaxed, GGA-PBE.

Unit cell a=17.6319 b=4.3338 c=6.5060 alpha=90.00 beta=90.00 gamma=90.00
Element x y z (fractional)
1 Y 0.1402 0.2500 0.0097
2 Y 0.3598 0.7500 0.5097
3 Y 0.6402 0.2500 0.4903
4 Y 0.8598 0.7500 0.9903
5 Ga 0.0374 0.7500 0.8388
6 Ga 0.0756 0.2500 0.4849
7 Ga 0.1803 0.7500 0.3191
8 Ga 0.1890 0.7500 0.7247
9 Ga 0.3110 0.2500 0.2247
10 Ga 0.3197 0.2500 0.8191
11 Ga 0.4244 0.7500 0.9849
12 Ga 0.4626 0.2500 0.3388
13 Ga 0.5374 0.7500 0.6612
14 Ga 0.5756 0.2500 0.0151
15 Ga 0.6803 0.7500 0.1809
16 Ga 0.6890 0.7500 0.7753
17 Ga 0.8110 0.2500 0.2753
18 Ga 0.8197 0.2500 0.6809
19 Ga 0.9244 0.7500 0.5151
20 Ga 0.9626 0.2500 0.1612
21 Pd 0.0332 0.7500 0.2516
22 Pd 0.2201 0.2500 0.5288
23 Pd 0.2799 0.7500 0.0288
24 Pd 0.4668 0.2500 0.7516
25 Pd 0.5332 0.7500 0.2484
26 Pd 0.7201 0.2500 0.9712
27 Pd 0.7799 0.7500 0.4712
28 Pd 0.9668 0.2500 0.7484

Properties
Fermi-level density of states: 2.50 states/eV/f.u.


Tell me which of them is the least stable. Sure, it is P).


P) YGa2Pd7: relaxed, GGA-PBE.

Unit cell a=7.1036 b=7.1036 c=4.5313 alpha=90.00 beta=90.00 gamma=117.91
Element x y z (fractional)
1 Y 0.0000 0.0000 0.0000
2 Ga 0.3001 0.6999 0.5000
3 Ga 0.6999 0.3001 0.5000
4 Pd 0.0678 0.3076 0.5000
5 Pd 0.2273 0.7727 0.0000
6 Pd 0.3076 0.0678 0.5000
7 Pd 0.5000 0.5000 0.5000
8 Pd 0.6924 0.9322 0.5000
9 Pd 0.7727 0.2273 0.0000
10 Pd 0.9322 0.6924 0.5000

Properties
Fermi-level density of states: 4.22 states/eV/f.u.


Q) YGa2Pd7: relaxed, GGA-PBE.

Unit cell a=10.4819 b=10.4819 c=10.4819 alpha=157.30 beta=157.30 gamma=32.33
Element x y z (fractional)
1 Y 0.0000 0.0000 0.0000
2 Ga 0.3241 0.3241 0.0000
3 Ga 0.6759 0.6759 0.0000
4 Pd 0.1030 0.6030 0.5000
5 Pd 0.2500 0.7500 0.5000
6 Pd 0.3970 0.8970 0.5000
7 Pd 0.5000 0.5000 0.0000
8 Pd 0.6030 0.1030 0.5000
9 Pd 0.7500 0.2500 0.5000
10 Pd 0.8970 0.3970 0.5000

Properties
Fermi-level density of states: 2.50 states/eV/f.u.


Tell me which of them is the least stable. Sure, it is P).


P) Y3GaPd: relaxed, GGA-PBE.

Unit cell a=5.3678 b=5.3678 c=5.3678 alpha=90.00 beta=90.00 gamma=90.00
Element x y z (fractional)
1 Y 0.0000 0.0000 0.5000
2 Y 0.0000 0.5000 0.0000
3 Y 0.5000 0.0000 0.0000
4 Ga 0.5000 0.5000 0.5000
5 Pd 0.0000 0.0000 0.0000

Properties
Fermi-level density of states: 7.85 states/eV/f.u.


Q) Y3GaPd: relaxed, GGA-PBE.

Unit cell a=8.0164 b=8.0164 c=8.1231 alpha=90.51 beta=90.51 gamma=85.69
Element x y z (fractional)
1 Y 0.0157 0.8052 0.5812
2 Y 0.0770 0.4240 0.8032
3 Y 0.1948 0.9843 0.9188
4 Y 0.3001 0.4938 0.4172
5 Y 0.4240 0.0770 0.3032
6 Y 0.4938 0.3001 0.9172
7 Y 0.5062 0.6999 0.0828
8 Y 0.5760 0.9230 0.6968
9 Y 0.6999 0.5062 0.5828
10 Y 0.8052 0.0157 0.0812
11 Y 0.9230 0.5760 0.1968
12 Y 0.9843 0.1948 0.4188
13 Ga 0.1635 0.8365 0.2500
14 Ga 0.3484 0.6516 0.7500
15 Ga 0.6516 0.3484 0.2500
16 Ga 0.8365 0.1635 0.7500
17 Pd 0.1755 0.2934 0.1285
18 Pd 0.2934 0.1755 0.6285
19 Pd 0.7066 0.8245 0.3715
20 Pd 0.8245 0.7066 0.8715

Properties
Fermi-level density of states: 4.82 states/eV/f.u.


Tell me which of them is the least stable. Sure, it is P).


P) YGa3Pd3: relaxed, GGA-PBE.

Unit cell a=6.7803 b=6.7803 c=6.7803 alpha=90.00 beta=90.00 gamma=90.00
Element x y z (fractional)
1 Y 0.0000 0.0000 0.0000
2 Y 0.5000 0.5000 0.5000
3 Ga 0.0000 0.2500 0.5000
4 Ga 0.0000 0.7500 0.5000
5 Ga 0.2500 0.5000 0.0000
6 Ga 0.5000 0.0000 0.2500
7 Ga 0.5000 0.0000 0.7500
8 Ga 0.7500 0.5000 0.0000
9 Pd 0.0000 0.5000 0.2500
10 Pd 0.0000 0.5000 0.7500
11 Pd 0.2500 0.0000 0.5000
12 Pd 0.5000 0.2500 0.0000
13 Pd 0.5000 0.7500 0.0000
14 Pd 0.7500 0.0000 0.5000

Properties
Fermi-level density of states: 4.54 states/eV/f.u.


Q) YGa3Pd3: relaxed, GGA-PBE.

Unit cell a=7.2729 b=7.2729 c=7.2729 alpha=56.67 beta=56.67 gamma=56.67
Element x y z (fractional)
1 Y 0.1612 0.1612 0.1612
2 Y 0.8388 0.8388 0.8388
3 Ga 0.0367 0.2323 0.6009
4 Ga 0.2323 0.6009 0.0367
5 Ga 0.3991 0.9633 0.7677
6 Ga 0.6009 0.0367 0.2323
7 Ga 0.7677 0.3991 0.9633
8 Ga 0.9633 0.7677 0.3991
9 Pd 0.1932 0.4237 0.6757
10 Pd 0.3243 0.8068 0.5764
11 Pd 0.4237 0.6757 0.1932
12 Pd 0.5763 0.3243 0.8068
13 Pd 0.6757 0.1932 0.4237
14 Pd 0.8068 0.5763 0.3243

Properties
Fermi-level density of states: 2.21 states/eV/f.u.


Tell me which of them is the least stable. Sure, it is P).